Record 1
The following is a DFT calculation (PBE) of a relaxed K2OsAu crystal.

- V (Å³ per atom) = 21.153
- excess energy over the best structure of this formula in the dataset (kJ/mol of atoms) = 26.9
- calculated density (g/cm³) = 9.134
- DFT formation energy (meV per atom) = 971
- total magnetic moment (μB per formula unit) = 0.00
- space-group type = Immm (71)

Unit cell a=6.4268 b=6.4268 c=6.4268 alpha=131.94 beta=154.49 gamma=55.19
Positions (direct):
Au1 0.2500 0.7500 0.5000
K1 0.9966 0.9966 0.0000
K2 0.5034 0.5034 0.0000
Os1 0.7500 0.2500 0.5000

=====

Record 2
The following is a DFT calculation (PBE) of a relaxed IrRhW2 crystal.

- V (Å³ per atom) = 15.324
- excess energy over the best structure of this formula in the dataset (kJ/mol of atoms) = 13.8
- calculated density (g/cm³) = 17.956
- DFT formation energy (meV per atom) = -91
- total magnetic moment (μB per formula unit) = 0.00
- space-group type = P4mm (99)

Unit cell a=2.7766 b=2.7766 c=7.9505 alpha=90.00 beta=90.00 gamma=90.00
Positions (direct):
Ir1 0.0000 0.0000 0.4952
Rh1 0.5000 0.5000 0.7535
W1 0.0000 0.0000 0.9893
W2 0.5000 0.5000 0.2620

=====

Record 3
The following is a DFT calculation (PBE) of a relaxed CaBe2Sn2 crystal.

- V (Å³ per atom) = 19.818
- calculated density (g/cm³) = 4.952
- DFT formation energy (meV per atom) = 142
- total magnetic moment (μB per formula unit) = 0.00
- space-group type = P4/mbm (127)

Unit cell a=7.6469 b=7.6469 c=3.3892 alpha=90.00 beta=90.00 gamma=90.00
Positions (direct):
Be1 0.3935 0.8935 0.0000
Be2 0.8935 0.6065 0.0000
Be3 0.6065 0.1065 0.0000
Be4 0.1065 0.3935 0.0000
Ca1 0.0000 0.0000 0.0000
Ca2 0.5000 0.5000 0.0000
Sn1 0.1726 0.6726 0.5000
Sn2 0.6726 0.8274 0.5000
Sn3 0.8274 0.3274 0.5000
Sn4 0.3274 0.1726 0.5000

=====

Record 4
The following is a DFT calculation (PBE) of a relaxed YErW4 crystal.

- V (Å³ per atom) = 19.945
- calculated density (g/cm³) = 13.758
- DFT formation energy (meV per atom) = 121
- total magnetic moment (μB per formula unit) = 0.00
- space-group type = F-43m (216)

Unit cell a=5.5314 b=5.5314 c=5.5314 alpha=60.00 beta=60.00 gamma=60.00
Positions (direct):
Y1 0.2500 0.2500 0.2500
W1 0.6251 0.6251 0.1248
W2 0.6251 0.1248 0.6251
W3 0.6251 0.6251 0.6251
W4 0.1248 0.6251 0.6251
Er1 0.0000 0.0000 0.0000

=====

Record 5
The following is a DFT calculation (PBE) of a relaxed Sc3SO3 crystal.

- V (Å³ per atom) = 14.438
- formation energy without anion corrections (meV per atom) = -2977
- calculated density (g/cm³) = 3.531
- total magnetic moment (μB per formula unit) = 0.00
- space-group type = R-3 (148)

Unit cell a=6.1060 b=6.1060 c=7.1846 alpha=64.85 beta=64.85 gamma=60.00
Positions (direct):
Sc1 0.2409 0.5680 0.2842
Sc2 0.9070 0.2409 0.2842
Sc3 0.5680 0.9070 0.2842
Sc4 0.4320 0.0930 0.7158
Sc5 0.0930 0.7591 0.7158
Sc6 0.7591 0.4320 0.7158
S1 0.3329 0.3329 0.0012
S2 0.6671 0.6671 0.9988
O1 0.4452 0.7950 0.6345
O2 0.7950 0.1253 0.6345
O3 0.1253 0.4452 0.6345
O4 0.8747 0.5548 0.3655
O5 0.2050 0.8747 0.3655
O6 0.5548 0.2050 0.3655

=====

Record 6
The following is a DFT calculation (PBE) of a relaxed Ba3HoTm3Te8 crystal.

- V (Å³ per atom) = 36.641
- formation energy without anion corrections (meV per atom) = -1499
- calculated density (g/cm³) = 6.358
- total magnetic moment (μB per formula unit) = 0.00
- space-group type = R-3m (166)

Unit cell a=8.9227 b=8.9197 c=9.4893 alpha=118.00 beta=90.02 gamma=119.99
Positions (direct):
Ba1 0.0000 0.0000 0.0000
Ba2 0.0000 0.5000 0.0000
Ba3 0.5000 0.5000 0.0000
Ho1 0.0000 0.0000 0.5000
Tm1 0.5000 0.0000 0.5000
Tm2 0.5000 0.5000 0.5000
Tm3 0.0000 0.5000 0.5000
Te1 0.2626 0.5253 0.2879
Te2 0.7374 0.4747 0.7121
Te3 0.7589 0.5179 0.2864
Te4 0.2411 0.4821 0.7136
Te5 0.7588 0.0275 0.2863
Te6 0.2412 0.9725 0.7137
Te7 0.2685 0.0275 0.2864
Te8 0.7315 0.9725 0.7136

=====

Record 7
The following is a DFT calculation (PBE) of a relaxed Ti5Ga3Mo crystal.

- V (Å³ per atom) = 18.393
- excess energy over the best structure of this formula in the dataset (kJ/mol of atoms) = 52.4
- calculated density (g/cm³) = 5.462
- DFT formation energy (meV per atom) = 160
- total magnetic moment (μB per formula unit) = 0.00
- space-group type = C2/m (12)

Unit cell a=5.8145 b=5.8145 c=9.9833 alpha=86.40 beta=86.40 gamma=79.80
Positions (direct):
Ti1 0.9984 0.3798 0.3333
Ti2 0.3308 0.6692 0.0000
Ti3 0.7254 0.7254 0.1628
Ti4 0.4656 0.4656 0.3036
Ti5 0.5344 0.5344 0.6964
Ti6 0.2746 0.2746 0.8372
Ti7 0.3798 0.9984 0.3333
Ti8 0.6692 0.3308 0.0000
Ti9 0.0016 0.6202 0.6667
Ti10 0.6202 0.0016 0.6667
Ga1 0.7474 0.7474 0.8898
Ga2 0.7090 0.7090 0.4532
Ga3 0.0000 0.0000 0.0000
Ga4 0.0000 0.0000 0.5000
Ga5 0.2526 0.2526 0.1102
Ga6 0.2910 0.2910 0.5468
Mo1 0.0338 0.0338 0.7475
Mo2 0.9662 0.9662 0.2525

=====

Record 8
The following is a DFT calculation (PBE) of a relaxed BaCaPb2 crystal.

- V (Å³ per atom) = 36.087
- calculated density (g/cm³) = 6.808
- DFT formation energy (meV per atom) = -540
- total magnetic moment (μB per formula unit) = 0.00
- space-group type = Cmcm (63)

Unit cell a=4.9777 b=4.9897 c=11.8868 alpha=90.01 beta=102.08 gamma=90.00
Positions (direct):
Ba1 0.3137 0.2498 0.6275
Ba2 0.6863 0.7502 0.3725
Ca1 0.5546 0.2500 0.1094
Ca2 0.4454 0.7500 0.8906
Pb1 0.8490 0.7499 0.6980
Pb2 0.1510 0.2501 0.3020
Pb3 0.0577 0.7500 0.1155
Pb4 0.9423 0.2500 0.8845

=====

Record 9
The following is a DFT calculation (PBE) of a relaxed Tb6PrHg3 crystal.

- V (Å³ per atom) = 30.065
- calculated density (g/cm³) = 9.369
- DFT formation energy (meV per atom) = -223
- total magnetic moment (μB per formula unit) = 0.00
- space-group type = P2_1/m (11)

Unit cell a=5.0600 b=11.4763 c=15.4327 alpha=137.86 beta=90.00 gamma=90.00
Positions (direct):
Tb1 0.2500 0.0774 0.4628
Tb2 0.7500 0.9226 0.5372
Tb3 0.2500 0.1428 0.0307
Tb4 0.7500 0.8572 0.9693
Tb5 0.2500 0.6338 0.0181
Tb6 0.7500 0.3662 0.9819
Tb7 0.2500 0.5974 0.2442
Tb8 0.7500 0.4026 0.7558
Tb9 0.2500 0.3345 0.4037
Tb10 0.7500 0.6655 0.5963
Tb11 0.2500 0.0135 0.7519
Tb12 0.7500 0.9865 0.2481
Pr1 0.2500 0.6273 0.7472
Pr2 0.7500 0.3727 0.2528
Hg1 0.2500 0.2546 0.7400
Hg2 0.7500 0.7454 0.2600
Hg3 0.2500 0.6633 0.4726
Hg4 0.7500 0.3367 0.5274
Hg5 0.2500 0.9973 0.1310
Hg6 0.7500 0.0027 0.8690

=====

Record 10
The following is a DFT calculation (PBE) of a relaxed TaIn2Br crystal.

- V (Å³ per atom) = 22.268
- excess energy over the best structure of this formula in the dataset (kJ/mol of atoms) = 12.1
- formation energy without anion corrections (meV per atom) = 247
- calculated density (g/cm³) = 9.144
- total magnetic moment (μB per formula unit) = 0.00
- space-group type = Cmmm (65)

Unit cell a=5.4202 b=5.4202 c=3.1121 alpha=90.00 beta=90.00 gamma=103.05
Positions (direct):
In1 0.0000 0.0000 0.0000
In2 0.5000 0.5000 0.0000
Br1 0.0000 0.5000 0.5000
Ta1 0.5000 0.0000 0.5000

=====

Record 11
The following is a DFT calculation (PBE) of a relaxed ZrSnAu2 crystal.

- V (Å³ per atom) = 21.921
- calculated density (g/cm³) = 11.436
- DFT formation energy (meV per atom) = -158
- total magnetic moment (μB per formula unit) = 0.00
- space-group type = I-42d (122)

Unit cell a=4.1383 b=4.1383 c=10.6503 alpha=78.80 beta=78.80 gamma=90.00
Positions (direct):
Au1 0.6263 0.1250 0.2500
Au2 0.1237 0.6250 0.2500
Au3 0.3750 0.3737 0.7500
Au4 0.8750 0.8763 0.7500
Sn1 0.0000 0.0000 0.0000
Sn2 0.7500 0.2500 0.5000
Zr1 0.5000 0.5000 0.0000
Zr2 0.2500 0.7500 0.5000

=====

Record 12
The following is a DFT calculation (PBE) of a relaxed YIn2P2 crystal.

- V (Å³ per atom) = 21.901
- excess energy over the best structure of this formula in the dataset (kJ/mol of atoms) = 0.0
- calculated density (g/cm³) = 5.770
- DFT formation energy (meV per atom) = -341
- total magnetic moment (μB per formula unit) = 0.00
- space-group type = P4/mbm (127)

Unit cell a=7.4165 b=7.4165 c=3.9817 alpha=90.00 beta=90.00 gamma=90.00
Positions (direct):
Y1 0.0000 0.0000 0.0000
Y2 0.5000 0.5000 0.0000
P1 0.3435 0.8435 0.0000
P2 0.8435 0.6565 0.0000
P3 0.6565 0.1565 0.0000
P4 0.1565 0.3435 0.0000
In1 0.1547 0.6547 0.5000
In2 0.6547 0.8453 0.5000
In3 0.8453 0.3453 0.5000
In4 0.3453 0.1547 0.5000

=====

> Among the records above, which one has the highest V?

Ba3HoTm3Te8